1.
4
Lattice="-0.023 4.523 0.432 -2.448 0.352 -3.811 -2.870 -0.189 1.826" Properties=species:S:1:pos:R:3 comment="NaSnPd2, relaxed, DFT PBE-GGA" space_group="P4/mmm (123)" total_energy_ev_per_fu=-17.21 pbc="T T T"
Na -1.236 2.437 -1.690
Pd -1.447 2.167 1.129
Pd -2.659 0.081 -0.993
Sn 0.000 0.000 0.000

=====

2.
9
Lattice="7.223 0.000 0.000 -3.611 6.255 0.000 0.000 0.000 3.908" Properties=species:S:1:pos:R:3 comment="Er3Al3GeIr2, relaxed, DFT PBE-GGA" polymorph_energy_mev_per_atom=0 space_group="P-62m (189)" total_energy_ev_per_fu=-54.18 pbc="T T T"
Al 5.268 0.000 0.000
Al 0.977 1.692 0.000
Al -2.634 4.562 0.000
Er 2.923 0.000 1.954
Er -1.462 2.531 1.954
Er 2.150 3.723 1.954
Ge 0.000 0.000 1.954
Ir 3.611 2.085 0.000
Ir 0.000 4.170 0.000

=====

3.
16
Lattice="-4.756 4.153 0.121 -2.850 -3.294 1.015 1.460 1.418 8.699" Properties=species:S:1:pos:R:3 comment="ScTc2W, relaxed, DFT PBE-GGA" polymorph_energy_mev_per_atom=0 space_group="Fm-3m (225)" total_energy_ev_per_fu=-40.91 e_form_kj_per_mol_atoms=-22 pbc="T T T"
Sc -1.720 0.393 1.372
Sc -5.158 1.177 4.115
Sc -0.988 1.100 5.721
Sc -4.426 1.885 8.464
Tc -1.956 -2.292 1.849
Tc -4.333 -0.216 1.910
Tc -0.165 -0.292 3.515
Tc -2.544 1.786 3.577
Tc -3.602 0.492 6.259
Tc -1.225 -1.584 6.199
Tc -1.813 2.494 7.926
Tc -4.190 4.570 7.987
W -4.098 2.469 1.432
W -2.780 -0.900 4.054
W -3.366 3.177 5.782
W -2.048 -0.192 8.403

=====

4.
4
Lattice="0.000 3.118 3.118 3.118 0.000 3.118 3.118 3.118 0.000" Properties=species:S:1:pos:R:3 comment="ScZnFeOs, relaxed, DFT PBE-GGA" polymorph_energy_mev_per_atom=0 space_group="F-43m (216)" total_energy_ev_per_fu=-27.16 e_form_kj_per_mol_atoms=-1 pbc="T T T"
Fe 4.676 4.676 4.676
Os 3.118 3.118 3.118
Sc 1.559 1.559 1.559
Zn 0.000 0.000 0.000

=====

5.
6
Lattice="-1.513 2.586 3.389 1.513 -2.586 3.389 1.513 2.586 -3.389" Properties=species:S:1:pos:R:3 comment="NbNiB4, relaxed, DFT PBE-GGA" polymorph_energy_mev_per_atom=50 space_group="Immm (71)" total_energy_ev_per_fu=-43.95 pbc="T T T"
B 0.000 1.685 1.653
B 1.513 -0.901 1.737
B 0.000 3.487 1.653
B 1.513 0.901 1.737
Nb 0.000 0.000 3.389
Ni 0.000 0.000 0.000

=====

6.
4
Lattice="-3.513 2.796 1.477 -1.471 3.580 -2.713 -4.229 -0.209 -2.100" Properties=species:S:1:pos:R:3 comment="YCo2Pb, relaxed, DFT PBE-GGA" space_group="F-43m (216)" total_energy_ev_per_fu=-22.63 pbc="T T T"
Co 0.000 0.000 0.000
Co -6.910 4.625 -2.503
Pb -4.607 3.083 -1.668
Y -2.303 1.542 -0.834

=====

7.
2
Lattice="0.000 2.832 2.832 2.832 0.000 2.832 2.832 2.832 0.000" Properties=species:S:1:pos:R:3 comment="ZnSb, relaxed, DFT PBE-GGA" space_group="Fm-3m (225)" total_energy_ev_per_fu=-5.18 pbc="T T T"
Sb 0.000 0.000 0.000
Zn 2.832 2.832 2.832

=====

8.
5
Lattice="4.871 1.868 2.808 2.391 5.377 -0.685 -5.194 -2.663 1.013" Properties=species:S:1:pos:R:3 comment="ScAl2Cu2, relaxed, DFT PBE-GGA" space_group="I4/mmm (139)" total_energy_ev_per_fu=-22.85 pbc="T T T"
Al 1.654 1.414 2.441
Al 0.414 3.168 0.694
Cu 2.828 2.821 0.826
Cu 4.434 4.424 1.296
Sc 0.000 0.000 0.000

=====

9.
10
Lattice="8.285 -1.978 0.000 8.285 1.978 0.000 -5.359 0.000 9.407" Properties=species:S:1:pos:R:3 comment="Gd2Br3, relaxed, DFT PBE-GGA" space_group="C2/m (12)" total_energy_ev_per_fu=-21.84 pbc="T T T"
Br 3.110 0.000 1.124
Br 14.388 0.000 2.525
Br 3.029 0.000 4.612
Br 8.182 0.000 4.794
Br -3.178 0.000 6.881
Br 8.100 0.000 8.283
Gd 6.674 0.000 0.454
Gd 0.711 0.000 2.704
Gd 10.500 0.000 6.703
Gd 4.536 0.000 8.953

=====

10.
8
Lattice="5.300 0.000 0.000 0.000 3.637 0.000 -2.630 0.000 7.208" Properties=species:S:1:pos:R:3 comment="Hf4NiP2Au, relaxed, DFT PBE-GGA" space_group="Pm (6)" total_energy_ev_per_fu=-66.43 pbc="T T T"
Au 1.236 0.000 5.738
Hf 3.897 1.818 0.706
Hf 2.697 0.000 3.040
Hf -0.027 1.818 3.987
Hf -1.321 0.000 6.762
Ni 1.313 1.818 1.502
P -0.017 0.000 2.077
P 2.901 1.818 5.021

=====

11.
12
Lattice="-2.983 -5.642 -0.692 0.483 -3.228 -5.535 5.492 -3.193 2.337" Properties=species:S:1:pos:R:3 comment="K2PtO3, relaxed, DFT PBE-GGA" space_group="P-1 (2)" total_energy_ev_per_fu=-28.81 pbc="T T T"
K 0.000 0.000 0.000
K -0.283 -6.719 -3.563
K 2.746 -1.596 1.169
K 3.275 -5.344 -0.327
O 1.245 -2.138 -0.992
O -0.521 -4.691 -0.324
O 0.856 -4.412 -3.174
O 2.135 -7.651 -0.716
O 3.512 -7.371 -3.566
O 1.746 -9.925 -2.898
Pt 0.526 -3.748 -1.498
Pt 2.465 -8.315 -2.393

=====

12.
12
Lattice="10.229 -2.267 0.000 10.229 2.267 0.000 -1.891 0.000 8.992" Properties=species:S:1:pos:R:3 comment="KSmZnTe3, relaxed, DFT PBE-GGA" polymorph_energy_mev_per_atom=161 space_group="C2/m (12)" total_energy_ev_per_fu=-22.04 pbc="T T T"
K 2.576 0.000 0.574
K 15.991 0.000 8.418
Sm 16.174 0.000 3.879
Sm 2.393 0.000 5.113
Te 10.229 0.000 0.000
Te 6.436 0.000 1.783
Te 13.179 0.000 3.102
Te -0.945 0.000 4.496
Te 5.389 0.000 5.890
Te 12.131 0.000 7.209
Zn 8.993 0.000 2.426
Zn 9.575 0.000 6.566

=====

13.
13
Lattice="-2.238 -9.183 2.599 2.131 -8.153 5.009 -2.293 -6.527 6.946" Properties=species:S:1:pos:R:3 comment="Nb7Zn6, relaxed, DFT PBE-GGA" space_group="R-3m (166)" total_energy_ev_per_fu=-79.19 e_form_kj_per_mol_atoms=-7 pbc="T T T"
Nb 0.000 0.000 0.000
Nb -0.402 -3.997 2.437
Nb -0.836 -8.316 5.072
Nb -1.094 -10.879 6.635
Nb -1.306 -12.983 7.918
Nb -1.563 -15.546 9.482
Nb -1.998 -19.866 12.116
Zn -1.317 -6.673 2.594
Zn 0.831 -6.166 3.779
Zn -1.055 -18.496 9.822
Zn -1.344 -5.367 4.731
Zn -3.230 -17.696 10.775
Zn -1.082 -17.189 11.960

=====

14.
9
Lattice="5.011 0.000 0.000 -2.506 4.340 0.000 0.000 0.000 9.604" Properties=species:S:1:pos:R:3 comment="GdMgZn, relaxed, DFT PBE-GGA" space_group="P3m1 (156)" total_energy_ev_per_fu=-7.91 pbc="T T T"
Gd 0.000 0.000 1.579
Gd 0.000 2.893 4.210
Gd 0.000 0.000 7.502
Mg 0.000 2.893 0.268
Mg 2.506 1.447 2.913
Mg 2.506 1.447 9.164
Zn 0.000 0.000 4.544
Zn 2.506 1.447 6.011
Zn 0.000 2.893 7.112

=====

15.
24
Lattice="-4.681 8.005 -6.081 0.853 -2.085 -3.402 -10.297 -5.447 0.757" Properties=species:S:1:pos:R:3 comment="YTlNiS3, relaxed, DFT PBE-GGA" space_group="Pnma (62)" total_energy_ev_per_fu=-32.72 pbc="T T T"
Ni -5.518 5.004 -4.451
Ni -4.367 0.372 -1.323
Ni -10.185 1.143 -5.702
Ni -9.034 -3.489 -2.574
S -3.407 4.586 -3.666
S -6.318 6.673 -5.675
S -3.092 -0.440 -2.953
S -5.745 3.397 -5.971
S -5.436 1.899 -2.528
S -5.107 -1.554 -0.329
S -9.445 3.069 -6.697
S -9.115 -0.384 -4.498
S -8.807 -1.882 -1.055
S -11.460 1.955 -4.073
S -8.234 -5.158 -1.350
S -11.144 -3.071 -3.360
Tl -0.922 1.296 -1.026
Tl -8.160 2.708 -3.707
Tl -6.391 -1.193 -3.319
Tl -13.629 0.219 -6.000
Y -3.600 1.967 -4.556
Y -7.627 5.077 -7.473
Y -6.925 -3.562 0.447
Y -10.952 -0.452 -2.470

=====

16.
4
Lattice="0.000 3.109 3.109 3.109 0.000 3.109 3.109 3.109 0.000" Properties=species:S:1:pos:R:3 comment="CuGeMoPt, relaxed, DFT PBE-GGA" polymorph_energy_mev_per_atom=0 space_group="F-43m (216)" total_energy_ev_per_fu=-24.98 pbc="T T T"
Cu 4.663 4.663 4.663
Ge 0.000 0.000 0.000
Mo 1.554 1.554 1.554
Pt 3.109 3.109 3.109

=====

17.
24
Lattice="11.519 0.000 0.000 0.000 4.550 0.000 0.000 0.000 15.000" Properties=species:S:1:pos:R:3 comment="BaLiTbTe3, relaxed, DFT PBE-GGA" polymorph_energy_mev_per_atom=0 space_group="Pnma (62)" total_energy_ev_per_fu=-26.75 pbc="T T T"
Ba 2.838 1.138 0.006
Ba 8.597 1.138 7.494
Ba 2.922 3.413 7.506
Ba 8.681 3.413 14.994
Li 2.834 3.413 3.321
Li 8.594 3.413 4.179
Li 2.925 1.138 10.821
Li 8.685 1.138 11.679
Tb 5.705 1.138 3.741
Tb 11.465 1.138 3.759
Tb 0.054 3.413 11.242
Tb 5.814 3.413 11.259
Te 5.055 3.413 1.698
Te 0.611 3.413 1.710
Te 8.591 1.138 2.649
Te 2.831 1.138 4.851
Te 6.371 3.413 5.790
Te 10.815 3.413 5.802
Te 0.704 1.138 9.198
Te 5.148 1.138 9.210
Te 8.688 3.413 10.149
Te 2.928 3.413 12.351
Te 10.908 1.138 13.290
Te 6.464 1.138 13.302

=====

18.
24
Lattice="4.989 -2.883 0.000 4.989 2.883 0.000 -3.314 0.000 11.760" Properties=species:S:1:pos:R:3 comment="Hf4Ta2P3N3, relaxed, DFT PBE-GGA" space_group="C2/c (15)" total_energy_ev_per_fu=-119.58 pbc="T T T"
Hf 0.828 0.508 1.211
Hf 7.463 0.470 1.215
Hf 0.858 0.470 4.665
Hf 7.493 0.508 4.669
Hf -0.828 -0.508 7.091
Hf 5.807 -0.470 7.095
Hf -0.799 -0.470 10.545
Hf 5.837 -0.508 10.549
N 2.495 1.441 0.000
N 5.863 1.512 0.006
N 2.459 1.512 5.874
N 0.838 -1.441 5.880
N 4.206 -1.512 5.886
N 0.802 -1.512 11.754
P 2.587 -0.429 2.926
P 4.161 2.307 2.940
P 5.735 -0.429 2.954
P 0.930 0.429 8.806
P 2.504 -2.307 8.820
P 4.078 0.429 8.834
Ta 4.204 0.457 1.113
Ta 4.117 0.457 4.767
Ta 2.547 -0.457 6.993
Ta 2.461 -0.457 10.647

=====

19.
16
Lattice="2.235 -7.749 0.000 2.235 7.749 0.000 0.000 0.000 15.639" Properties=species:S:1:pos:R:3 comment="RbPm2CuTe4, relaxed, DFT PBE-GGA" space_group="Cmcm (63)" total_energy_ev_per_fu=-36.11 pbc="T T T"
Cu 2.235 -5.261 3.910
Cu 2.235 5.261 11.730
Pm 2.235 2.097 0.995
Pm 2.235 2.097 6.825
Pm 2.235 -2.097 8.814
Pm 2.235 -2.097 14.645
Rb 2.235 6.064 3.910
Rb 2.235 -6.064 11.730
Te 0.000 0.000 0.000
Te 2.235 -3.623 1.800
Te 2.235 1.048 3.910
Te 2.235 -3.623 6.020
Te 0.000 0.000 7.820
Te 2.235 3.623 9.620
Te 2.235 -1.048 11.730
Te 2.235 3.623 13.839

=====

20.
24
Lattice="-2.081 10.530 -2.073 -0.995 0.558 3.832 12.746 3.082 2.862" Properties=species:S:1:pos:R:3 comment="Nd2CuSe3, relaxed, DFT PBE-GGA" polymorph_energy_mev_per_atom=0 space_group="Pnma (62)" total_energy_ev_per_fu=-32.25 pbc="T T T"
Cu 1.003 8.924 0.005
Cu 2.713 3.821 1.191
Cu 6.956 10.349 3.429
Cu 8.666 5.246 4.616
Nd -2.281 8.745 1.264
Nd 1.218 6.628 2.481
Nd 2.538 1.431 3.580
Nd 4.920 4.970 3.684
Nd 4.749 9.199 0.937
Nd 7.131 12.739 1.041
Nd 8.451 7.541 2.140
Nd 11.951 5.425 3.357
Se -0.324 6.869 -0.041
Se -0.856 10.490 -0.706
Se 0.782 3.711 2.792
Se 1.955 9.511 2.253
Se 3.812 6.102 1.145
Se 4.694 2.566 1.889
Se 4.975 11.603 2.732
Se 5.858 8.068 3.476
Se 7.714 4.659 2.368
Se 8.887 10.459 1.829
Se 10.525 3.680 5.327
Se 9.993 7.301 4.662

=====

21.
10
Lattice="1.634 -5.693 0.000 1.634 5.693 0.000 0.000 0.000 9.991" Properties=species:S:1:pos:R:3 comment="Rb2PtO2, relaxed, DFT PBE-GGA" space_group="Cmc2_1 (36)" total_energy_ev_per_fu=-22.66 pbc="T T T"
O 1.634 2.349 1.639
O 1.634 0.388 3.345
O 1.634 -2.349 6.635
O 1.634 -0.388 8.340
Pt 1.634 -4.306 2.523
Pt 1.634 4.306 7.518
Rb 1.634 -1.173 0.972
Rb 1.634 3.991 4.169
Rb 1.634 1.173 5.967
Rb 1.634 -3.991 9.165